Record 1
Dy2HoAl | PBE-GGA | relaxed

Geometry as CIF:
```
data_Dy2HoAl
_cell_length_a 3.5740
_cell_length_b 3.5740
_cell_length_c 10.5834
_cell_angle_alpha 80.28
_cell_angle_beta 80.28
_cell_angle_gamma 60.00
_space_group_name_H-M_alt 'P 1'
_space_group_IT_number 1
loop_
_space_group_symop_operation_xyz
'x,y,z'
loop_
_atom_site_label
_atom_site_fract_x
_atom_site_fract_y
_atom_site_fract_z
Al1 0.6664 0.6664 0.0009
Dy1 0.2603 0.2603 0.2191
Dy2 0.0730 0.0730 0.7809
Ho1 0.5003 0.5003 0.4991
```

Output
calculated formation energy	-0.07	eV/atom
N(E_F)	3.898	states/eV/cell
SG	R3m, No. 160

Record 2
Dy12Ho6Al | PBE-GGA | relaxed

Geometry as CIF:
```
data_Dy12Ho6Al
_cell_length_a 8.3942
_cell_length_b 8.3942
_cell_length_c 8.3942
_cell_angle_alpha 88.76
_cell_angle_beta 88.76
_cell_angle_gamma 88.76
_space_group_name_H-M_alt 'P 1'
_space_group_IT_number 1
loop_
_space_group_symop_operation_xyz
'x,y,z'
loop_
_atom_site_label
_atom_site_fract_x
_atom_site_fract_y
_atom_site_fract_z
Dy1 0.0147 0.1791 0.3608
Dy2 0.4617 0.5648 0.2179
Ho1 0.9039 0.2883 0.7423
Dy3 0.8209 0.6392 0.9853
Dy4 0.9853 0.8209 0.6392
Ho2 0.0961 0.7117 0.2577
Ho3 0.2577 0.0961 0.7117
Dy5 0.4352 0.7821 0.5383
Dy6 0.1791 0.3608 0.0147
Ho4 0.7423 0.9039 0.2883
Dy7 0.3608 0.0147 0.1791
Dy8 0.2179 0.4617 0.5648
Ho5 0.2883 0.7423 0.9039
Dy9 0.7821 0.5383 0.4352
Dy10 0.5383 0.4352 0.7821
Al1 0.0000 0.0000 0.0000
Ho6 0.7117 0.2577 0.0961
Dy11 0.6392 0.9853 0.8209
Dy12 0.5648 0.2179 0.4617
```

Output
calculated formation energy	0.09	eV/atom
N(E_F)	27.784	states/eV/cell
SG	R-3, No. 148

Record 3
DyHo3Al2 | PBE-GGA | relaxed

Geometry as CIF:
```
data_DyHo3Al2
_cell_length_a 5.0790
_cell_length_b 6.5299
_cell_length_c 9.4341
_cell_angle_alpha 90.00
_cell_angle_beta 90.00
_cell_angle_gamma 90.00
_space_group_name_H-M_alt 'P 1'
_space_group_IT_number 1
loop_
_space_group_symop_operation_xyz
'x,y,z'
loop_
_atom_site_label
_atom_site_fract_x
_atom_site_fract_y
_atom_site_fract_z
Dy1 0.5000 0.5288 0.5411
Ho1 0.5000 0.6855 0.1771
Dy2 0.5000 0.0288 0.4589
Ho2 0.0000 0.3146 0.3216
Al1 0.0000 0.2926 0.6465
Ho3 0.0000 0.9714 0.0415
Ho4 0.5000 0.1855 0.8229
Al2 0.5000 0.7071 0.8538
Ho5 0.0000 0.4714 0.9585
Ho6 0.0000 0.8146 0.6784
Al3 0.5000 0.2071 0.1462
Al4 0.0000 0.7926 0.3535
```

Output
calculated formation energy	-0.29	eV/atom
N(E_F)	9.319	states/eV/cell
SG	Pmc2_1, No. 26

Record 4
Dy4Ho15Al | PBE-GGA | relaxed

Geometry as CIF:
```
data_Dy4Ho15Al
_cell_length_a 4.9239
_cell_length_b 4.9239
_cell_length_c 24.8924
_cell_angle_alpha 90.00
_cell_angle_beta 90.00
_cell_angle_gamma 90.00
_space_group_name_H-M_alt 'P 1'
_space_group_IT_number 1
loop_
_space_group_symop_operation_xyz
'x,y,z'
loop_
_atom_site_label
_atom_site_fract_x
_atom_site_fract_y
_atom_site_fract_z
Ho1 0.0000 0.5000 0.0937
Ho2 0.5000 0.0000 0.7031
Ho3 0.5000 0.5000 0.8061
Ho4 0.5000 0.5000 0.0000
Dy1 0.0000 0.0000 0.8040
Dy2 0.0000 0.0000 0.3985
Ho5 0.5000 0.0000 0.0937
Ho6 0.5000 0.5000 0.6020
Ho7 0.5000 0.0000 0.5000
Ho8 0.0000 0.5000 0.2969
Ho9 0.0000 0.5000 0.5000
Ho10 0.5000 0.5000 0.3980
Ho11 0.5000 0.0000 0.9063
Dy3 0.0000 0.0000 0.1960
Ho12 0.5000 0.5000 0.1939
Ho13 0.0000 0.5000 0.7031
Al1 0.0000 0.0000 0.0000
Ho14 0.0000 0.5000 0.9063
Dy4 0.0000 0.0000 0.6015
Ho15 0.5000 0.0000 0.2969
```

Output
calculated formation energy	-0.01	eV/atom
N(E_F)	23.668	states/eV/cell
SG	P4/mmm, No. 123